# 1
W2AuCl at its PBEsol-relaxed geometry, computed with SCAN.

Output
Its density is 15.0 g/cm3. Its energy above the lowest structure with this stoichiometry is 0 meV per atom.

a = 9.492 Å, b = 9.492 Å, c = 9.492 Å
α = 17.35°, β = 17.35°, γ = 17.35°
Fractional coordinates of all 4 atoms:
W 0.000 0.000 0.000
W 0.250 0.250 0.250
Au 0.749 0.749 0.749
Cl 0.518 0.518 0.518

# 2
WAu2Cl at its PBEsol-relaxed geometry, computed with SCAN.

Output
Its density is 15.2 g/cm3. Its energy above the lowest structure with this stoichiometry is 784 meV per atom.

a = 5.188 Å, b = 5.188 Å, c = 5.188 Å
α = 135.84°, β = 135.84°, γ = 64.22°
Fractional coordinates of all 4 atoms:
W 0.000 0.000 0.000
Au 0.250 0.750 0.500
Au 0.750 0.250 0.500
Cl 0.500 0.500 0.000

# 3
WAu2Cl at its PBEsol-relaxed geometry, computed with SCAN.

Output
Its density is 15.2 g/cm3. Its energy above the lowest structure with this stoichiometry is 0 meV per atom.

a = 8.889 Å, b = 8.889 Å, c = 8.889 Å
α = 19.31°, β = 19.31°, γ = 19.31°
Fractional coordinates of all 4 atoms:
W 0.000 0.000 0.000
Au 0.251 0.251 0.251
Au 0.749 0.749 0.749
Cl 0.500 0.500 0.500

Number 1: total energy -215.07 eV/f.u.. Number 2: total energy -211.60 eV/f.u.. Number 3: total energy -214.73 eV/f.u..